ZrCoO3: optimized geometry, PBE+U.

The structure in CIF format:
```
data_ZrCoO3
_cell_length_a 5.408
_cell_length_b 8.397
_cell_length_c 5.041
_cell_angle_alpha 90.00
_cell_angle_beta 90.00
_cell_angle_gamma 90.00
_symmetry_space_group_name_H-M 'P n m a'
_symmetry_Int_Tables_number 62
loop_
_symmetry_equiv_pos_as_xyz
'x,y,z'
'-x,-y,-z'
'-x+1/2,-y,z+1/2'
'x+1/2,y,-z+1/2'
'x+1/2,-y+1/2,-z+1/2'
'-x+1/2,y+1/2,z+1/2'
'-x,y+1/2,-z'
'x,-y+1/2,z'
loop_
_atom_site_label
_atom_site_type_symbol
_atom_site_fract_x
_atom_site_fract_y
_atom_site_fract_z
_atom_site_occupancy
Zr1 Zr 0.068 0.250 0.043 1
Co1 Co 0.000 0.000 0.500 1
O1 O 0.087 0.750 0.330 1
O2 O 0.200 0.591 0.803 1
```

Summary:
Electronic total energy: -40.23 eV/f.u.
ρ: 5.7 g cm⁻³